A geometry-optimized BAsRh2 structure. Source: Alexandria, functional PBE-GGA.

polymorph energy (0 for the lowest one) = 350 meV per atom
total magnetic moment = 0.6 μB per formula unit
E_tot = -25.064 eV per cell
ΔE_f = 0.242 eV/atom

Lattice parameters (Å, degrees): 4.1541 4.1541 4.1541 60.00 60.00 60.00
Last column: nearest neighbours and their distance in Å.
Element x y z (fractional)
B (0.0000, 0.0000, 0.0000)  8 Rh 2.54
As (0.5000, 0.5000, 0.5000)  8 Rh 2.54
Rh (0.2500, 0.2500, 0.2500)  4 As 2.54, 4 B 2.54
Rh (0.7500, 0.7500, 0.7500)  4 As 2.54, 4 B 2.54